PRuRh2Br: relaxed, PBE.

Cell lengths 4.874, 4.369, 4.874 Å; angles 90.00, 90.00, 90.00 degrees
Sites, in units of the cell vectors:
Br 0.500 0.500 0.500
Rh 0.000 0.000 0.500
Rh 0.500 0.000 0.000
Ru 0.000 0.000 0.000
P 0.000 0.500 0.000

## Properties
- Fermi-level density of states (states/eV/atom) = 1.70
- uncorrected formation energy (eV/atom) = 1.028
- SG = P4/mmm
- volume (Å³/cell) = 103.8
- total magnetization (μB per cell) = 0.0

---

SrMg2O: relaxed, PBE.

Cell lengths 6.609, 6.609, 6.612 Å; angles 60.01, 60.01, 90.00 degrees
Sites, in units of the cell vectors:
Sr 0.750 0.250 0.500
Sr 0.000 0.000 0.000
Mg 0.875 0.626 0.750
Mg 0.376 0.125 0.250
Mg 0.375 0.624 0.750
Mg 0.374 0.625 0.250
O 0.500 0.500 0.000
O 0.250 0.750 0.500

## Properties
- Fermi-level density of states (states/eV/atom) = 0.26
- uncorrected formation energy (eV/atom) = -0.990
- SG = I-42d
- volume (Å³/cell) = 204.3
- total magnetization (μB per cell) = 0.0

---

NbCuPd2C: relaxed, PBE.

Cell lengths 4.837, 4.762, 4.837 Å; angles 90.00, 90.00, 90.00 degrees
Site moments in Bohr magnetons follow the coordinates.
Sites, in units of the cell vectors:
Pd 0.000 0.000 0.500  -0.02
Pd 0.500 0.000 0.000  -0.03
C 0.500 0.500 0.500  0.58
Nb 0.000 0.000 0.000  -0.14
Cu 0.000 0.500 0.000  0.02

## Properties
- Fermi-level density of states (states/eV/atom) = 1.00
- SG = P4/mmm
- uncorrected energy (eV for the cell shown) = -21.6
- volume (Å³/cell) = 111.4
- total magnetization (μB per cell) = 0.9

---

SmTmPb2: relaxed, PBE.

Cell lengths 6.371, 6.372, 12.197 Å; angles 90.00, 106.58, 90.00 degrees
Sites, in units of the cell vectors:
Tm 0.948 0.629 0.626
Tm 0.448 0.371 0.126
Tm 0.552 0.629 0.874
Tm 0.052 0.371 0.374
Pb 0.427 0.869 0.097
Pb 0.927 0.131 0.597
Pb 0.573 0.131 0.903
Pb 0.064 0.627 0.895
Pb 0.436 0.627 0.605
Pb 0.564 0.373 0.395
Pb 0.073 0.869 0.403
Pb 0.936 0.373 0.105
Sm 0.056 0.128 0.869
Sm 0.944 0.872 0.131
Sm 0.556 0.872 0.369
Sm 0.444 0.128 0.631

## Properties
- Fermi-level density of states (states/eV/atom) = 0.90
- SG = P2/c
- uncorrected energy (eV for the cell shown) = -73.7
- volume (Å³/cell) = 474.6
- total magnetization (μB per cell) = 0.0

---

GeB: relaxed, PBE.

Cell lengths 3.043, 3.576, 5.915 Å; angles 71.06, 75.17, 64.76 degrees
Sites, in units of the cell vectors:
B 0.756 0.569 0.419
B 0.244 0.431 0.581
Ge 0.489 0.759 0.767
Ge 0.511 0.241 0.233

## Properties
- Fermi-level density of states (states/eV/atom) = 0.19
- SG = P-1
- volume (Å³/cell) = 54.5
- energy above the lowest structure with this stoichiometry (meV/atom) = 41
- total magnetization (μB per cell) = 0.0

---

TlCuBr2: relaxed, PBE.

Cell lengths 7.626, 7.626, 6.735 Å; angles 55.52, 55.52, 90.00 degrees
Sites, in units of the cell vectors:
Cu 0.250 0.750 0.500
Cu 0.500 0.500 0.000
Br 0.214 0.625 0.250
Br 0.875 0.786 0.750
Br 0.536 0.125 0.250
Br 0.375 0.464 0.750
Tl 0.000 0.000 0.000
Tl 0.750 0.250 0.500

## Properties
- Fermi-level density of states (states/eV/atom) = 0.00
- uncorrected formation energy (eV/atom) = -0.522
- SG = I-42d
- volume (Å³/cell) = 234.7
- energy above the lowest structure with this stoichiometry (meV/atom) = 19
- total magnetization (μB per cell) = 0.0

---

Sr5Cd2Pd2: relaxed, PBE.

Cell lengths 8.307, 8.388, 9.595 Å; angles 90.00, 64.35, 90.00 degrees
Sites, in units of the cell vectors:
Sr 0.454 0.171 0.752
Sr 0.046 0.671 0.248
Sr 0.500 0.500 0.000
Sr 0.000 0.000 0.000
Sr 0.795 0.829 0.752
Sr 0.705 0.329 0.248
Sr 0.295 0.671 0.752
Sr 0.954 0.329 0.752
Sr 0.205 0.171 0.248
Sr 0.546 0.829 0.248
Pd 0.121 0.378 0.000
Pd 0.621 0.122 0.000
Pd 0.379 0.878 0.000
Pd 0.879 0.622 0.000
Cd 0.713 0.500 0.575
Cd 0.787 0.000 0.425
Cd 0.287 0.500 0.425
Cd 0.213 0.000 0.575

## Properties
- Fermi-level density of states (states/eV/atom) = 0.64
- SG = Cmce
- uncorrected energy (eV for the cell shown) = -48.6
- volume (Å³/cell) = 602.7
- total magnetization (μB per cell) = 0.0

---

YSiOs2: relaxed, PBE.

Cell lengths 3.895, 3.036, 6.001 Å; angles 74.77, 90.00, 90.00 degrees
Sites, in units of the cell vectors:
Si 0.500 0.250 0.250
Os 0.000 0.407 0.451
Os 0.000 0.093 0.049
Y 0.500 0.750 0.750

## Properties
- Fermi-level density of states (states/eV/atom) = 0.51
- uncorrected formation energy (eV/atom) = -0.061
- SG = P2/m
- volume (Å³/cell) = 68.5
- total magnetization (μB per cell) = 0.0

---

> What is the Fermi-level density of states in the sixth record?

0.00 states/eV/atom